Entry from the Alexandria database: an optimized crystal structure of Pm2DyHg4Pb (PBE).

```
Pm2DyHg4Pb
1.0
-5.1679 -1.0160 -0.5793
-2.3314 -3.6787 3.0178
-4.3906 4.6003 6.8675
Pm Dy Hg Pb
2 1 4 1
Direct
0.7429 0.7429 0.7713
0.2571 0.2571 0.2287
0.5000 0.5000 0.5000
0.3819 0.3819 0.8544
0.8670 0.8670 0.3990
0.1330 0.1330 0.6010
0.6181 0.6181 0.1456
0.0000 0.0000 0.0000
```

- formation enthalpy at 0 K (eV per atom) = -0.430

=====

Entry from the Alexandria database: an optimized crystal structure of ScZn (PBE).

```
ScZn
1.0
3.1244 0.0000 0.0000
0.0000 3.1244 0.0000
0.0000 0.0000 7.8780
Sc Zn
2 2
Direct
0.2500 0.2500 0.1562
0.7500 0.7500 0.8438
0.2500 0.2500 0.5968
0.7500 0.7500 0.4032
```

- formation enthalpy at 0 K (eV per atom) = -0.190

=====

Entry from the Alexandria database: an optimized crystal structure of CaAs2SeS (PBE).

```
CaAs2SeS
1.0
-3.3248 3.3867 1.0917
-3.1870 -2.1698 -2.9750
-1.6217 -2.8137 3.7896
S As Ca Se
1 2 1 1
Direct
0.0000 0.0000 0.0000
0.0000 0.5000 0.0000
0.5000 0.0000 0.0000
0.5000 0.5000 0.5000
0.0000 0.0000 0.5000
```

- ΔE_f (raw) (kJ/mol of atoms) = -5.2
- polymorph energy (0 for the lowest one) (meV per atom) = 0

=====

Entry from the Alexandria database: an optimized crystal structure of TbCoTcP2 (PBE).

```
TbCoTcP2
1.0
-1.1435 -2.8452 -2.4889
2.2976 -2.5880 1.9029
-4.2896 1.6073 3.2669
Tb Co Tc P
1 1 1 2
Direct
0.0000 0.0000 0.0000
0.2500 0.7500 0.5000
0.7500 0.2500 0.5000
0.6279 0.6279 0.2559
0.3721 0.3721 0.7441
```

- formation enthalpy at 0 K (eV per atom) = -0.955

=====

Entry from the Alexandria database: an optimized crystal structure of ReGeAs2Se (PBE).

```
ReGeAs2Se
1.0
4.8377 0.0000 0.0000
0.0000 4.8377 0.0000
0.0000 0.0000 4.8426
Re As Ge Se
1 2 1 1
Direct
0.5000 0.5000 0.5000
0.0000 0.5000 0.0000
0.5000 0.0000 0.0000
0.0000 0.0000 0.0000
0.0000 0.0000 0.5000
```

- ΔE_f (raw) (kJ/mol of atoms) = 144.8
- polymorph energy (0 for the lowest one) (meV per atom) = 837

=====

Entry from the Alexandria database: an optimized crystal structure of RbYTaCo2 (PBE).

```
RbYTaCo2
1.0
-3.0484 -0.8756 -3.4039
-0.3672 -5.1268 1.6476
-3.5005 1.1621 2.8359
Y Co Rb Ta
1 2 1 1
Direct
0.5000 0.5000 0.5000
0.0000 0.0000 0.5000
0.5000 0.0000 0.0000
0.0000 0.5000 0.0000
0.0000 0.0000 0.0000
```

- formation enthalpy at 0 K (eV per atom) = 1.408

=====

Entry from the Alexandria database: an optimized crystal structure of YReB2H (PBE).

```
YReB2H
1.0
-1.1807 -3.8619 2.2868
4.1353 -2.4080 -1.9314
2.5125 1.3906 3.6457
Y Re B H
1 1 2 1
Direct
0.0000 0.0000 0.0000
0.0000 0.5000 0.0000
0.0000 0.0000 0.5000
0.5000 0.0000 0.0000
0.5000 0.5000 0.5000
```

- DFT total energy (eV/cell) = -19.52

=====

Entry from the Alexandria database: an optimized crystal structure of MgCr (PBE).

```
MgCr
1.0
-1.6141 -2.0981 1.4417
1.6120 -0.7479 -2.4347
3.7620 -0.9765 2.7908
Cr Mg
1 1
Direct
0.0000 0.0000 0.0000
0.6667 0.3333 0.5000
```

- formation enthalpy at 0 K (eV per atom) = 0.655
- polymorph energy (0 for the lowest one) (meV per atom) = 410